Record 1
Computed, not measured: a geometry-optimized BeTlAg2 structure at the GGA-PBE level of DFT.

Results
SG ... F-43m (216)
Electronic total energy ... -0.185 Ry per atom
Offset from the most stable computed form ... 0.79 eV/f.u.

Cell: 4.6703 4.6703 4.6703 Å, 60.00 60.00 60.00°
Sites, in units of the cell vectors:
Be (0.0000, 0.0000, 0.0000)
Tl (0.2500, 0.2500, 0.2500)
Ag (0.5000, 0.5000, 0.5000)
Ag (0.7500, 0.7500, 0.7500)

=====

Record 2
Computed, not measured: a geometry-optimized BeTl2VAg structure at the GGA-PBE level of DFT.

Results
SG ... P4/mmm (123)
Electronic total energy ... -0.228 Ry per atom

Cell: 4.8350 4.8350 4.4562 Å, 90.00 90.00 90.00°
Sites, in units of the cell vectors:
Be (0.0000, 0.0000, 0.0000)
Tl (0.0000, 0.5000, 0.0000)
Tl (0.5000, 0.0000, 0.0000)
V (0.5000, 0.5000, 0.5000)
Ag (0.0000, 0.0000, 0.5000)

=====

Record 3
Computed, not measured: a geometry-optimized Tm4BeAg3 structure at the GGA-PBE level of DFT.

Results
SG ... P4/mmm (123)
Electronic total energy ... -0.294 Ry per atom

Cell: 3.5107 3.5107 14.2866 Å, 90.00 90.00 90.00°
Sites, in units of the cell vectors:
Tm (0.0000, 0.0000, 0.1125)
Tm (0.0000, 0.0000, 0.3709)
Tm (0.0000, 0.0000, 0.6291)
Tm (0.0000, 0.0000, 0.8875)
Be (0.5000, 0.5000, 0.0000)
Ag (0.5000, 0.5000, 0.2414)
Ag (0.5000, 0.5000, 0.5000)
Ag (0.5000, 0.5000, 0.7586)